## a
Below is AcNd4Ho7 after structural relaxation, with properties calculated at the PBE level.

The space-group type is C2/m (12). The total magnetization is 0.000 μB per formula unit.

Cell: 6.886 6.886 12.771 Å, 115.71 115.71 52.41°
Element x y z (fractional)
Ac: 0.000 0.000 0.000
Nd: 0.244 0.244 0.676
Nd: 0.369 0.369 0.224
Nd: 0.631 0.631 0.776
Nd: 0.756 0.756 0.324
Ho: 0.058 0.058 0.334
Ho: 0.217 0.217 0.921
Ho: 0.366 0.366 0.498
Ho: 0.500 0.500 0.000
Ho: 0.634 0.634 0.502
Ho: 0.783 0.783 0.079
Ho: 0.942 0.942 0.666

## b
Below is AcNd4Ho7 after structural relaxation, with properties calculated at the PBE level.

The space-group type is P-1 (2). The total magnetization is 0.000 μB per formula unit.

Cell: 6.320 7.288 8.995 Å, 90.06 103.54 90.06°
Element x y z (fractional)
Ac: 0.000 0.000 0.000
Nd: 0.222 0.499 0.668
Nd: 0.281 0.749 0.337
Nd: 0.719 0.251 0.663
Nd: 0.778 0.501 0.332
Ho: 0.000 0.500 0.000
Ho: 0.224 0.999 0.664
Ho: 0.279 0.251 0.335
Ho: 0.500 0.252 0.001
Ho: 0.500 0.748 0.999
Ho: 0.721 0.749 0.665
Ho: 0.776 0.001 0.336

Most stable structure, least stable structure: b, a.

## a
Below is Ac2Nd6Ho after structural relaxation, with properties calculated at the PBE level.

The space-group type is C2/c (15). The total magnetization is 0.000 μB per formula unit.

Cell: 9.361 9.361 9.327 Å, 113.08 113.08 66.31°
Element x y z (fractional)
Ac: 0.015 0.172 0.179
Ac: 0.172 0.015 0.679
Ac: 0.828 0.985 0.321
Ac: 0.985 0.828 0.821
Nd: 0.091 0.581 0.419
Nd: 0.171 0.352 0.015
Nd: 0.338 0.497 0.836
Nd: 0.352 0.171 0.515
Nd: 0.419 0.909 0.081
Nd: 0.497 0.338 0.336
Nd: 0.503 0.662 0.664
Nd: 0.581 0.091 0.919
Nd: 0.648 0.829 0.485
Nd: 0.662 0.503 0.164
Nd: 0.829 0.648 0.985
Nd: 0.909 0.419 0.581
Ho: 0.257 0.743 0.250
Ho: 0.743 0.257 0.750

## b
Below is Ac2Nd6Ho after structural relaxation, with properties calculated at the PBE level.

The space-group type is P-6m2 (187). The total magnetization is 0.000 μB per formula unit.

Cell: 3.745 3.745 27.557 Å, 90.00 90.00 120.00°
Element x y z (fractional)
Ac: 0.000 0.000 0.173
Ac: 0.000 0.000 0.827
Nd: 0.000 0.000 0.396
Nd: 0.000 0.000 0.604
Nd: 0.667 0.333 0.062
Nd: 0.667 0.333 0.289
Nd: 0.667 0.333 0.711
Nd: 0.667 0.333 0.938
Ho: 0.667 0.333 0.500

Most stable structure, least stable structure: b, a.

## a
Below is AcNd2Ho4 after structural relaxation, with properties calculated at the PBE level.

The space-group type is I4/mmm (139). The total magnetization is 0.000 μB per formula unit.

Cell: 8.647 8.647 6.607 Å, 90.00 90.00 90.00°
Element x y z (fractional)
Ac: 0.000 0.000 0.000
Ac: 0.500 0.500 0.500
Nd: 0.000 0.500 0.250
Nd: 0.000 0.500 0.750
Nd: 0.500 0.000 0.250
Nd: 0.500 0.000 0.750
Ho: 0.195 0.195 0.500
Ho: 0.195 0.805 0.500
Ho: 0.305 0.305 0.000
Ho: 0.305 0.695 0.000
Ho: 0.695 0.305 0.000
Ho: 0.695 0.695 0.000
Ho: 0.805 0.195 0.500
Ho: 0.805 0.805 0.500

## b
Below is AcNd2Ho4 after structural relaxation, with properties calculated at the PBE level.

The space-group type is P1 (1). The total magnetization is 0.000 μB per formula unit.

Cell: 6.914 8.616 9.392 Å, 65.89 71.60 76.97°
Element x y z (fractional)
Ac: 0.000 0.000 0.000
Ac: 0.471 0.896 0.139
Nd: 0.133 0.558 0.299
Nd: 0.188 0.759 0.565
Nd: 0.337 0.338 0.841
Nd: 0.854 0.425 0.721
Ho: 0.037 0.189 0.277
Ho: 0.288 0.140 0.574
Ho: 0.435 0.711 0.864
Ho: 0.565 0.288 0.158
Ho: 0.616 0.467 0.416
Ho: 0.717 0.855 0.443
Ho: 0.754 0.045 0.693
Ho: 0.905 0.606 0.986

Most stable structure, least stable structure: b, a.

## a
Below is AcNd3Ho3 after structural relaxation, with properties calculated at the PBE level.

The space-group type is P6_3/m (176). The total magnetization is 0.001 μB per formula unit.

Cell: 9.797 9.797 5.882 Å, 90.00 90.00 120.00°
Element x y z (fractional)
Ac: 0.333 0.667 0.250
Ac: 0.667 0.333 0.750
Nd: 0.094 0.625 0.750
Nd: 0.375 0.470 0.750
Nd: 0.470 0.094 0.250
Nd: 0.530 0.906 0.750
Nd: 0.625 0.530 0.250
Nd: 0.906 0.375 0.250
Ho: 0.043 0.814 0.250
Ho: 0.186 0.228 0.250
Ho: 0.228 0.043 0.750
Ho: 0.772 0.957 0.250
Ho: 0.814 0.772 0.750
Ho: 0.957 0.186 0.750

## b
Below is AcNd3Ho3 after structural relaxation, with properties calculated at the PBE level.

The space-group type is P1 (1). The total magnetization is 0.000 μB per formula unit.

Cell: 8.176 10.967 10.979 Å, 93.07 94.33 98.67°
Element x y z (fractional)
Ac: 0.000 0.000 0.000
Ac: 0.038 0.814 0.701
Ac: 0.252 0.741 0.997
Ac: 0.781 0.073 0.704
Nd: 0.074 0.637 0.417
Nd: 0.105 0.456 0.140
Nd: 0.147 0.288 0.852
Nd: 0.184 0.108 0.565
Nd: 0.213 0.925 0.286
Nd: 0.535 0.325 0.708
Nd: 0.571 0.143 0.419
Nd: 0.605 0.963 0.141
Nd: 0.640 0.778 0.849
Nd: 0.674 0.603 0.561
Nd: 0.711 0.426 0.279
Nd: 0.744 0.251 0.998
Ho: 0.288 0.563 0.704
Ho: 0.319 0.390 0.423
Ho: 0.357 0.214 0.141
Ho: 0.394 0.037 0.852
Ho: 0.432 0.851 0.561
Ho: 0.468 0.672 0.281
Ho: 0.503 0.495 0.995
Ho: 0.817 0.888 0.415
Ho: 0.849 0.706 0.138
Ho: 0.889 0.529 0.851
Ho: 0.932 0.361 0.562
Ho: 0.965 0.180 0.286

Most stable structure, least stable structure: b, a.

## a
Below is Ac4NdHo after structural relaxation, with properties calculated at the PBE level.

The space-group type is F-43m (216). The total magnetization is 0.000 μB per formula unit.

Cell: 7.153 7.153 7.153 Å, 60.00 60.00 60.00°
Element x y z (fractional)
Ac: 0.376 0.376 0.376
Ac: 0.376 0.376 0.873
Ac: 0.376 0.873 0.376
Ac: 0.873 0.376 0.376
Nd: 0.000 0.000 0.000
Ho: 0.750 0.750 0.750

## b
Below is Ac4NdHo after structural relaxation, with properties calculated at the PBE level.

The space-group type is Cmmm (65). The total magnetization is 0.000 μB per formula unit.

Cell: 5.532 16.191 5.489 Å, 90.00 90.00 90.00°
Element x y z (fractional)
Ac: 0.000 0.160 0.000
Ac: 0.000 0.339 0.500
Ac: 0.000 0.661 0.500
Ac: 0.000 0.840 0.000
Ac: 0.500 0.161 0.500
Ac: 0.500 0.340 0.000
Ac: 0.500 0.660 0.000
Ac: 0.500 0.839 0.500
Nd: 0.000 0.500 0.000
Nd: 0.500 0.000 0.000
Ho: 0.000 0.000 0.500
Ho: 0.500 0.500 0.500

Most stable structure, least stable structure: b, a.

## a
Below is AcNd3Ho4 after structural relaxation, with properties calculated at the PBE level.

The space-group type is Immm (71). The total magnetization is 0.000 μB per formula unit.

Cell: 3.497 11.811 13.354 Å, 90.00 90.00 90.00°
Element x y z (fractional)
Ac: 0.000 0.000 0.000
Ac: 0.500 0.500 0.500
Nd: 0.000 0.000 0.500
Nd: 0.000 0.500 0.257
Nd: 0.000 0.500 0.743
Nd: 0.500 0.000 0.243
Nd: 0.500 0.000 0.757
Nd: 0.500 0.500 0.000
Ho: 0.000 0.254 0.137
Ho: 0.000 0.254 0.863
Ho: 0.000 0.746 0.137
Ho: 0.000 0.746 0.863
Ho: 0.500 0.246 0.363
Ho: 0.500 0.246 0.637
Ho: 0.500 0.754 0.363
Ho: 0.500 0.754 0.637

## b
Below is AcNd3Ho4 after structural relaxation, with properties calculated at the PBE level.

The space-group type is Pmn2_1 (31). The total magnetization is 0.001 μB per formula unit.

Cell: 11.702 7.410 6.356 Å, 90.00 90.00 90.00°
Element x y z (fractional)
Ac: 0.000 0.127 0.000
Ac: 0.500 0.873 0.500
Nd: 0.000 0.866 0.490
Nd: 0.247 0.131 0.651
Nd: 0.253 0.869 0.151
Nd: 0.500 0.134 0.990
Nd: 0.747 0.869 0.151
Nd: 0.753 0.131 0.651
Ho: 0.000 0.385 0.490
Ho: 0.000 0.621 0.987
Ho: 0.248 0.618 0.656
Ho: 0.252 0.382 0.156
Ho: 0.500 0.379 0.487
Ho: 0.500 0.615 0.990
Ho: 0.748 0.382 0.156
Ho: 0.752 0.618 0.656

Most stable structure, least stable structure: b, a.

## a
Below is AcNdHoZn after structural relaxation, with properties calculated at the PBE level.

The space-group type is F-43m (216). The total magnetization is 0.000 μB per formula unit.

Cell: 7.891 7.891 7.891 Å, 90.00 90.00 90.00°
Element x y z (fractional)
Ac: 0.000 0.000 0.000
Ac: 0.000 0.500 0.500
Ac: 0.500 0.000 0.500
Ac: 0.500 0.500 0.000
Nd: 0.250 0.250 0.750
Nd: 0.250 0.750 0.250
Nd: 0.750 0.250 0.250
Nd: 0.750 0.750 0.750
Ho: 0.250 0.250 0.250
Ho: 0.250 0.750 0.750
Ho: 0.750 0.250 0.750
Ho: 0.750 0.750 0.250
Zn: 0.000 0.000 0.500
Zn: 0.000 0.500 0.000
Zn: 0.500 0.000 0.000
Zn: 0.500 0.500 0.500

## b
Below is AcNdHoZn after structural relaxation, with properties calculated at the PBE level.

The space-group type is P4mm (99). The total magnetization is 0.000 μB per formula unit.

Cell: 3.706 3.706 9.020 Å, 90.00 90.00 90.00°
Element x y z (fractional)
Ac: 0.000 0.000 0.000
Nd: 0.500 0.500 0.687
Ho: 0.500 0.500 0.299
Zn: 0.000 0.000 0.478

Most stable structure, least stable structure: b, a.

## a
Below is AcHoNi2 after structural relaxation, with properties calculated at the PBE level.

The space-group type is R-3m (166). The total magnetization is 0.000 μB per formula unit.

Cell: 4.575 4.575 15.359 Å, 90.00 90.00 120.00°
Element x y z (fractional)
Ac: 0.000 0.000 0.000
Ac: 0.333 0.667 0.667
Ac: 0.667 0.333 0.333
Ho: 0.000 0.000 0.500
Ho: 0.333 0.667 0.167
Ho: 0.667 0.333 0.833
Ni: 0.000 0.000 0.213
Ni: 0.000 0.000 0.787
Ni: 0.333 0.667 0.454
Ni: 0.333 0.667 0.879
Ni: 0.667 0.333 0.121
Ni: 0.667 0.333 0.546

## b
Below is AcHoNi2 after structural relaxation, with properties calculated at the PBE level.

The space-group type is P4/mmm (123). The total magnetization is 0.000 μB per formula unit.

Cell: 3.538 3.538 6.962 Å, 90.00 90.00 90.00°
Element x y z (fractional)
Ac: 0.000 0.000 0.000
Ho: 0.000 0.000 0.500
Ni: 0.500 0.500 0.292
Ni: 0.500 0.500 0.708

## c
Below is AcHoNi2 after structural relaxation, with properties calculated at the PBE level.

The space-group type is Fm-3m (225). The total magnetization is 0.000 μB per formula unit.

Cell: 7.062 7.062 7.062 Å, 90.00 90.00 90.00°
Element x y z (fractional)
Ac: 0.000 0.000 0.000
Ac: 0.000 0.500 0.500
Ac: 0.500 0.000 0.500
Ac: 0.500 0.500 0.000
Ho: 0.000 0.000 0.500
Ho: 0.000 0.500 0.000
Ho: 0.500 0.000 0.000
Ho: 0.500 0.500 0.500
Ni: 0.250 0.250 0.250
Ni: 0.250 0.250 0.750
Ni: 0.250 0.750 0.250
Ni: 0.250 0.750 0.750
Ni: 0.750 0.250 0.250
Ni: 0.750 0.250 0.750
Ni: 0.750 0.750 0.250
Ni: 0.750 0.750 0.750

Most stable structure, least stable structure: a, c.

## a
Below is AcHoNi4 after structural relaxation, with properties calculated at the PBE level.

The space-group type is P-3m1 (164). The total magnetization is 0.000 μB per formula unit.

Cell: 5.177 5.177 8.692 Å, 90.00 90.00 120.00°
Element x y z (fractional)
Ac: 0.333 0.667 0.082
Ac: 0.667 0.333 0.918
Ho: 0.333 0.667 0.451
Ho: 0.667 0.333 0.549
Ni: 0.000 0.000 0.000
Ni: 0.000 0.000 0.500
Ni: 0.164 0.328 0.733
Ni: 0.164 0.836 0.733
Ni: 0.328 0.164 0.267
Ni: 0.672 0.836 0.733
Ni: 0.836 0.164 0.267
Ni: 0.836 0.672 0.267

## b
Below is AcHoNi4 after structural relaxation, with properties calculated at the PBE level.

The space-group type is F-43m (216). The total magnetization is 0.000 μB per formula unit.

Cell: 5.200 5.200 5.200 Å, 60.00 60.00 60.00°
Element x y z (fractional)
Ac: 0.000 0.000 0.000
Ho: 0.250 0.250 0.250
Ni: 0.129 0.624 0.624
Ni: 0.624 0.129 0.624
Ni: 0.624 0.624 0.129
Ni: 0.624 0.624 0.624

Most stable structure, least stable structure: b, a.

## a
Below is Ac2HoNi after structural relaxation, with properties calculated at the PBE level.

The space-group type is P4/mmm (123). The total magnetization is 0.001 μB per formula unit.

Cell: 3.770 3.770 8.906 Å, 90.00 90.00 90.00°
Element x y z (fractional)
Ac: 0.000 0.000 0.198
Ac: 0.000 0.000 0.802
Ho: 0.500 0.500 0.500
Ni: 0.500 0.500 0.000

## b
Below is Ac2HoNi after structural relaxation, with properties calculated at the PBE level.

The space-group type is R-3m (166). The total magnetization is 0.001 μB per formula unit.

Cell: 3.908 3.908 32.339 Å, 90.00 90.00 120.00°
Element x y z (fractional)
Ac: 0.000 0.000 0.111
Ac: 0.000 0.000 0.889
Ac: 0.333 0.667 0.556
Ac: 0.333 0.667 0.777
Ac: 0.667 0.333 0.223
Ac: 0.667 0.333 0.444
Ho: 0.000 0.000 0.000
Ho: 0.333 0.667 0.667
Ho: 0.667 0.333 0.333
Ni: 0.000 0.000 0.500
Ni: 0.333 0.667 0.167
Ni: 0.667 0.333 0.833

Most stable structure, least stable structure: a, b.

## a
Below is AcHoO after structural relaxation, with properties calculated at the PBE level.

The space-group type is R-3m (166). The total magnetization is 0.000 μB per formula unit.

Cell: 13.191 13.191 13.191 Å, 16.04 16.04 16.04°
Element x y z (fractional)
Ac: 0.215 0.215 0.215
Ac: 0.785 0.785 0.785
Ho: 0.043 0.043 0.043
Ho: 0.957 0.957 0.957
O: 0.399 0.399 0.399
O: 0.601 0.601 0.601

## b
Below is AcHoO after structural relaxation, with properties calculated at the PBE level.

The space-group type is P3m1 (156). The total magnetization is 0.287 μB per formula unit.

Cell: 3.702 3.702 6.530 Å, 90.00 90.00 120.00°
Element x y z (fractional)
Ac: 0.000 0.000 0.000
Ho: 0.667 0.333 0.535
O: 0.333 0.667 0.650

Most stable structure, least stable structure: b, a.